This record from Alexandria describes an optimized crystal structure of NaOsI2O. The functional is PBE-GGA.

a b c (Å): 5.7111 5.7111 3.7849
angles (deg): 90.00 90.00 90.00
Closest atoms and distances in Å follow each position.
Positions (direct):
Na  0.0000  0.0000  0.0000  8 I 3.43, 2 Na 3.78
Os  0.5000  0.5000  0.5000  2 O 1.89
I  0.0000  0.5000  0.5000  2 Os 2.86
I  0.5000  0.0000  0.5000  2 Os 2.86
O  0.5000  0.5000  0.0000  2 Os 1.89

Output
Relative energy among the computed polymorphs ... 0.0000 eV/atom
Formation energy (no corrections) ... -2.075 eV/f.u.
DOS at the Fermi energy ... 3.15 states/eV/f.u.
Crystal system ... tetragonal